(1)
Below is a relaxed MgPb3Br crystal, with properties calculated at the PBE level.

```
MgPb3Br
1.0
-3.497 -4.396 -1.181
3.339 -1.466 -4.433
3.093 -3.387 3.450
Br Pb Mg
1 3 1
Direct
0.000 0.000 0.000
0.500 0.000 0.000
0.000 0.500 0.000
0.000 0.000 0.500
0.500 0.500 0.500
```

Values from the calculation:
The calculation puts the total magnetization at 0.0 μB/cell. As for the space group: Pm-3m, No. 221. The value obtained for the energy above the lowest structure with this stoichiometry is 1.03 eV per formula unit.

(2)
Below is a relaxed Rb3Mg2PbBr9 crystal, with properties calculated at the PBE level.

```
Rb3Mg2PbBr9
1.0
7.848 0.000 0.000
-3.924 6.796 0.000
0.000 0.000 9.788
Rb Br Mg Pb
3 9 2 1
Direct
0.333 0.667 0.686
0.667 0.333 0.314
0.000 0.000 0.000
0.500 0.000 0.000
0.500 0.500 0.000
0.652 0.826 0.315
0.348 0.174 0.685
0.826 0.652 0.685
0.174 0.348 0.315
0.000 0.500 0.000
0.174 0.826 0.315
0.826 0.174 0.685
0.667 0.333 0.845
0.333 0.667 0.155
0.000 0.000 0.500
```

Values from the calculation:
The calculation puts the total magnetization at 0.0 μB/cell. As for the space group: P-3m1, No. 164. The value obtained for the uncorrected energy is -46.60 eV/cell.

(3)
Below is a relaxed MgPbSe2Br crystal, with properties calculated at the PBE level.

```
MgPbSe2Br
1.0
-0.724 1.268 4.893
4.400 -2.274 1.241
2.547 4.498 -0.788
Br Pb Se Mg
1 1 2 1
Direct
0.000 0.000 0.500
0.500 0.500 0.500
0.500 0.000 0.000
0.000 0.500 0.000
0.000 0.000 0.000
```

Values from the calculation:
The calculation puts the total magnetization at 0.0 μB/cell. As for the space group: P4/mmm, No. 123. The value obtained for the energy above the lowest structure with this stoichiometry is 0.00 eV per formula unit.

(4)
Below is a relaxed MgPbSeBr2 crystal, with properties calculated at the PBE level.

```
MgPbSeBr2
1.0
5.083 0.000 0.000
0.000 5.083 0.000
0.000 0.000 5.433
Mg Br Pb Se
1 2 1 1
Direct
0.000 0.000 0.000
0.000 0.500 0.000
0.500 0.000 0.000
0.500 0.500 0.500
0.000 0.000 0.500
```

Values from the calculation:
The calculation puts the total magnetization at 0.0 μB/cell. As for the space group: P4/mmm, No. 123. The value obtained for the energy above the lowest structure with this stoichiometry is 0.00 eV per formula unit.